[1]
! CrMo, relaxed, DFT PBE; values from VASP
&SYSTEM
  ibrav = 0, nat = 12, ntyp = 2
/
ATOMIC_SPECIES
Cr 52.00 Cr.upf
Mo 95.94 Mo.upf
ATOMIC_POSITIONS angstrom
Cr 1.2677 3.5670 1.0668
Mo 3.5954 4.1843 1.0668
Mo 5.2851 0.7855 1.0668
Mo 1.4968 1.0216 1.0668
Cr 4.4629 2.8814 3.2003
Mo 1.9623 4.9697 3.2003
Cr 3.7230 0.6856 3.2003
Cr -0.2639 5.3057 1.0668
Cr -1.0038 3.1099 1.0668
Cr 2.1913 2.4243 3.2003
Mo -1.8260 5.2058 3.2003
Mo -0.1363 1.8070 3.2003
CELL_PARAMETERS angstrom
6.9182 0.0000 0.0000
-3.4591 5.9913 0.0000
0.0000 0.0000 4.2671
! Spin magnetization, Bohr magnetons per cell: 0.0
! Density of states at the Fermi level, states/eV/f.u.: 2.7
! Volume, A^3/atom: 14.739
! DFT total energy, eV per cell: -115.07

***

[2]
! Cr2Mo, relaxed, DFT PBE; values from VASP
&SYSTEM
  ibrav = 0, nat = 6, ntyp = 2
/
ATOMIC_SPECIES
Mo 95.94 Mo.upf
Cr 52.00 Cr.upf
ATOMIC_POSITIONS angstrom
Mo 1.7567 -1.9009 -2.8648
Mo 0.8291 -2.5789 -0.0813
Cr 2.7312 -4.6370 -3.1831
Cr 1.3789 -3.3361 -4.9527
Cr 0.4929 -4.0592 -2.2370
Cr -0.5591 -1.2391 -1.7922
CELL_PARAMETERS angstrom
-2.6520 -0.8185 -1.0831
4.1762 -2.6748 -4.1065
0.1047 -3.4767 2.3711
! Spin magnetization, Bohr magnetons per cell: 0.0
! Density of states at the Fermi level, states/eV/f.u.: 1.9
! Energy relative to the lowest polymorph listed for this composition, meV/atom: 0
! Volume, A^3/atom: 13.094
! DFT total energy, eV per cell: -59.80

***

[3]
! Cr2Mo, relaxed, DFT PBE; values from VASP
&SYSTEM
  ibrav = 0, nat = 12, ntyp = 2
/
ATOMIC_SPECIES
Cr 52.00 Cr.upf
Mo 95.94 Mo.upf
ATOMIC_POSITIONS angstrom
Cr -2.3769 -1.6270 1.6525
Mo -2.6214 -3.7616 3.2329
Cr -4.7459 -3.4708 1.8263
Cr -2.2546 -6.0314 4.3251
Cr -5.0162 -5.4125 3.3089
Mo -2.8320 -3.7700 0.2190
Cr -0.7075 -4.0608 1.6256
Mo -0.3510 -6.3283 2.7259
Cr -3.1988 -1.5002 -0.8731
Cr -0.4372 -2.1192 0.1430
Mo -5.1024 -1.2034 0.7260
Cr -3.0765 -5.9047 1.7994
CELL_PARAMETERS angstrom
-3.8612 0.8699 3.0742
-2.6471 -1.7845 -2.8197
1.0549 -6.6171 3.1974
! Spin magnetization, Bohr magnetons per cell: 0.0
! Density of states at the Fermi level, states/eV/f.u.: 2.5
! Energy relative to the lowest polymorph listed for this composition, meV/atom: 112
! Volume, A^3/atom: 13.207
! DFT total energy, eV per cell: -118.26

***

[4]
! CrMo, relaxed, DFT PBE; values from VASP
&SYSTEM
  ibrav = 0, nat = 12, ntyp = 2
/
ATOMIC_SPECIES
Mo 95.94 Mo.upf
Cr 52.00 Cr.upf
ATOMIC_POSITIONS angstrom
Mo -4.5788 -3.9030 3.7369
Cr -3.7828 -2.9835 1.4697
Mo -6.2845 -6.7690 3.8978
Cr 0.8943 -2.6774 -0.4155
Cr -0.0557 -3.7178 1.4344
Mo 2.1908 -4.6441 0.5892
Cr -7.0248 -4.3121 3.0523
Cr -8.1950 -7.0533 5.4078
Cr -3.3700 -5.7581 4.6557
Mo -1.7238 -1.7055 1.0981
Mo -8.8971 -4.6451 4.5999
Mo -2.0765 -5.0445 1.8436
CELL_PARAMETERS angstrom
-11.3813 -4.6641 5.5559
-0.2527 -1.6908 -1.9371
2.5848 -3.2891 2.5337
! Spin magnetization, Bohr magnetons per cell: 0.0
! Density of states at the Fermi level, states/eV/f.u.: 1.8
! Volume, A^3/atom: 14.212
! DFT total energy, eV per cell: -118.75

***

[5]
! CrMo, relaxed, DFT PBE; values from VASP
&SYSTEM
  ibrav = 0, nat = 16, ntyp = 2
/
ATOMIC_SPECIES
Mo 95.94 Mo.upf
Cr 52.00 Cr.upf
ATOMIC_POSITIONS angstrom
Mo 10.1802 3.1368 3.7404
Mo 9.6528 0.4534 2.4608
Mo 3.1328 1.6668 2.4219
Cr 3.9043 2.0980 4.9305
Cr 5.4265 2.9064 2.4216
Cr 6.8365 3.7480 0.0274
Mo 5.6830 0.6671 3.7086
Mo 7.6300 4.1365 2.4537
Cr 4.9235 0.2255 1.1937
Cr 7.8866 1.8972 3.7407
Mo 2.8719 3.9647 1.2039
Cr 9.4087 2.7056 1.2318
Mo 3.6602 4.3502 3.7015
Cr 4.6777 2.4905 0.0086
Cr 7.0823 1.4830 1.2124
Mo 8.8881 0.0088 0.0171
CELL_PARAMETERS angstrom
8.9359 -0.0003 -0.0088
0.2692 5.0217 -0.0044
1.5530 0.8301 4.9413
! Spin magnetization, Bohr magnetons per cell: 0.0
! Density of states at the Fermi level, states/eV/f.u.: 1.5
! Volume, A^3/atom: 13.864
! DFT total energy, eV per cell: -162.34

***

[6]
! Cr3Mo, relaxed, DFT PBE; values from VASP
&SYSTEM
  ibrav = 0, nat = 16, ntyp = 2
/
ATOMIC_SPECIES
Cr 52.00 Cr.upf
Mo 95.94 Mo.upf
ATOMIC_POSITIONS angstrom
Cr -3.0035 5.4153 -1.8693
Mo -3.6480 3.5687 -0.2054
Cr 0.3366 2.8541 0.6710
Cr -1.1499 3.6179 -1.7383
Cr -3.9860 4.6039 2.1189
Cr -2.5209 -0.0172 1.5343
Cr -1.4819 4.6371 0.5915
Mo -0.0215 0.0225 0.0035
Mo -1.5180 0.7868 -2.4076
Cr -4.0159 0.7381 -0.8724
Cr -1.8380 1.8060 -0.0771
Cr -4.3366 1.7685 1.4540
Cr -2.1554 2.8078 2.2042
Cr -5.8619 2.5431 -1.0057
Mo -5.5066 5.3782 -0.3389
Cr -3.3638 2.5846 -2.5379
CELL_PARAMETERS angstrom
-3.0200 1.5434 -4.8628
-5.0437 -0.0737 3.0956
0.7184 5.7163 1.3547
! Spin magnetization, Bohr magnetons per cell: 0.3
! Density of states at the Fermi level, states/eV/f.u.: 2.2
! Volume, A^3/atom: 12.979
! DFT total energy, eV per cell: -157.84

***

[7]
! CrMo5, relaxed, DFT PBE; values from VASP
&SYSTEM
  ibrav = 0, nat = 12, ntyp = 2
/
ATOMIC_SPECIES
Cr 52.00 Cr.upf
Mo 95.94 Mo.upf
ATOMIC_POSITIONS angstrom
Cr -2.5640 -2.8758 3.1940
Cr -0.6462 0.7282 2.6766
Mo -4.3802 -3.0047 1.4412
Mo 0.0000 0.0000 0.0000
Mo -0.6069 3.1569 3.3748
Mo -3.0379 1.2477 3.3072
Mo -1.2610 -1.0521 4.3619
Mo 1.1700 0.8570 4.4295
Mo -1.9493 -1.0955 1.5087
Mo -0.1724 -3.3954 2.5634
Mo -1.9178 -3.6040 0.5175
Mo -2.6033 -5.3046 2.4959
CELL_PARAMETERS angstrom
-5.4370 -1.9191 -0.7906
1.6014 -5.2889 1.8255
0.6254 5.0604 4.8357
! Spin magnetization, Bohr magnetons per cell: 0.0
! Density of states at the Fermi level, states/eV/f.u.: 7.1
! Energy relative to the lowest polymorph listed for this composition, meV/atom: 474
! Volume, A^3/atom: 16.077
! DFT total energy, eV per cell: -121.52

***

[8]
! Cr3Mo, relaxed, DFT PBE; values from VASP
&SYSTEM
  ibrav = 0, nat = 4, ntyp = 2
/
ATOMIC_SPECIES
Cr 52.00 Cr.upf
Mo 95.94 Mo.upf
ATOMIC_POSITIONS angstrom
Cr -2.5093 0.4516 0.6925
Mo -1.5635 -2.0153 0.6887
Cr 0.0000 0.0000 0.0000
Cr -0.7485 -0.2910 2.5170
CELL_PARAMETERS angstrom
-3.3242 -1.2727 -1.1357
0.1973 -2.7578 2.5131
-1.6943 2.1759 2.5208
! Spin magnetization, Bohr magnetons per cell: 0.0
! Density of states at the Fermi level, states/eV/f.u.: 7.9
! Volume, A^3/atom: 13.040
! DFT total energy, eV per cell: -38.01

***

[9]
! Cr3Mo, relaxed, DFT PBE; values from VASP
&SYSTEM
  ibrav = 0, nat = 16, ntyp = 2
/
ATOMIC_SPECIES
Mo 95.94 Mo.upf
Cr 52.00 Cr.upf
ATOMIC_POSITIONS angstrom
Mo -0.8841 -3.3139 -0.3182
Cr 0.6503 -4.5721 1.1574
Cr -1.7587 -7.3784 -2.8448
Mo -0.2378 -8.6255 -1.3821
Cr 0.4575 -6.1962 -3.2156
Cr -0.9884 -3.6483 2.6966
Cr 2.8057 -5.6477 -0.1118
Cr 2.0963 -7.1200 -4.7548
Cr 1.9398 -3.0459 3.0071
Cr -0.1225 -6.2500 -0.4223
Cr 1.2304 -4.5183 -1.6359
Cr -0.8319 -7.7223 -5.0653
Cr 2.8665 -3.3899 0.7866
Cr -1.6979 -5.1206 -1.9464
Mo 1.3457 -2.1428 -0.6761
Mo 1.9920 -7.4544 -1.7400
CELL_PARAMETERS angstrom
-3.7354 -2.9319 1.4086
1.7771 -5.3396 -6.4010
3.0662 -2.4969 2.9341
! Spin magnetization, Bohr magnetons per cell: 0.0
! Density of states at the Fermi level, states/eV/f.u.: 3.6
! Volume, A^3/atom: 12.992
! DFT total energy, eV per cell: -154.60

***

[10]
! CrMo4, relaxed, DFT PBE; values from VASP
&SYSTEM
  ibrav = 0, nat = 10, ntyp = 2
/
ATOMIC_SPECIES
Mo 95.94 Mo.upf
Cr 52.00 Cr.upf
ATOMIC_POSITIONS angstrom
Mo 0.2977 1.7619 2.6557
Mo 1.2085 2.7069 5.7406
Cr 3.5818 0.3989 0.0035
Mo 3.1624 0.2690 2.5721
Mo -0.6855 3.1272 0.3479
Cr -0.7409 4.1502 6.0434
Mo -0.3215 4.2802 3.4748
Mo 2.5432 2.7873 3.3912
Mo 3.5264 1.4219 5.6990
Mo 1.6324 1.8423 0.3063
CELL_PARAMETERS angstrom
4.5691 0.1918 -1.0024
-1.7861 4.1354 -1.0302
0.0579 0.2219 8.0795
! Spin magnetization, Bohr magnetons per cell: 0.0
! Density of states at the Fermi level, states/eV/f.u.: 4.6
! Energy relative to the lowest polymorph listed for this composition, meV/atom: 355
! Volume, A^3/atom: 15.710
! DFT total energy, eV per cell: -101.94

***

[11]
! Cr2Mo, relaxed, DFT PBE; values from VASP
&SYSTEM
  ibrav = 0, nat = 9, ntyp = 2
/
ATOMIC_SPECIES
Cr 52.00 Cr.upf
Mo 95.94 Mo.upf
ATOMIC_POSITIONS angstrom
Cr 1.9605 -0.1678 3.2982
Cr 1.3214 2.4653 2.0020
Mo -0.9698 3.2094 0.7397
Cr 1.2467 3.5432 -0.8005
Mo 2.0096 0.5691 0.1653
Mo -0.5302 0.9240 3.2639
Cr -0.0213 -0.3202 1.3611
Cr -0.3314 1.2922 -0.4196
Cr -1.1473 3.1614 3.0622
CELL_PARAMETERS angstrom
-1.4094 5.4949 -1.7845
-0.0906 -1.3615 5.7881
4.0191 1.1383 0.3307
! Spin magnetization, Bohr magnetons per cell: 2.7
! Density of states at the Fermi level, states/eV/f.u.: 3.3
! Energy relative to the lowest polymorph listed for this composition, meV/atom: 615
! Volume, A^3/atom: 14.259
! DFT total energy, eV per cell: -84.16

***

[12]
! Cr7Mo, relaxed, DFT PBE; values from VASP
&SYSTEM
  ibrav = 0, nat = 8, ntyp = 2
/
ATOMIC_SPECIES
Cr 52.00 Cr.upf
Mo 95.94 Mo.upf
ATOMIC_POSITIONS angstrom
Cr 0.6556 2.4323 3.7422
Cr 0.9536 0.2116 2.4144
Cr -0.9651 2.5242 5.7790
Cr -1.6206 0.0920 2.0368
Cr -0.2980 2.2207 1.3278
Cr -0.6670 0.3036 4.4511
Mo 0.0000 0.0000 0.0000
Cr -1.9186 2.3126 3.3646
CELL_PARAMETERS angstrom
1.9071 0.4232 4.8287
-0.5960 4.4413 2.6556
-3.2412 0.1839 4.0735
! Spin magnetization, Bohr magnetons per cell: 0.0
! Density of states at the Fermi level, states/eV/f.u.: 16.9
! Energy relative to the lowest polymorph listed for this composition, meV/atom: 385
! Volume, A^3/atom: 12.492
! DFT total energy, eV per cell: -74.78

***

Number 1: formation energy 0.6380 eV/atom. Number 2: formation energy 0.0595 eV/atom. Number 3: formation energy 0.1713 eV/atom. Number 4: formation energy 0.3313 eV/atom. Number 5: formation energy 0.0811 eV/atom. Number 6: formation energy 0.0602 eV/atom. Number 7: formation energy 0.5028 eV/atom. Number 8: formation energy 0.4231 eV/atom. Number 9: formation energy 0.2628 eV/atom. Number 10: formation energy 0.3956 eV/atom. Number 11: formation energy 0.6744 eV/atom. Number 12: formation energy 0.4267 eV/atom.